Computed, not measured: a geometry-optimized Pm6Hg2Te3Se structure at the PBE level of DFT.

Properties
Calculated volume in Å³ per cell: 363.6
E_tot in eV per cell: -55.91
Total magnetization in μB/cell: 0.000
Formation energy from raw total energies in meV/atom: -1158

Geometry as POSCAR:
```
Pm6Hg2Te3Se
1.0
9.7473 -2.1524 0.0000
9.7473 2.1524 0.0000
-2.5667 0.0000 8.6652
Pm Hg Te Se
6 2 3 1
direct
0.0026 0.0026 0.2363
0.3357 0.3357 0.4070
0.3386 0.3386 0.9068
0.6614 0.6614 0.0932
0.6643 0.6643 0.5930
0.9974 0.9974 0.7637
0.1710 0.1710 0.3481
0.8290 0.8290 0.6519
0.1654 0.1654 0.8446
0.5000 0.5000 0.5000
0.8346 0.8346 0.1554
0.5000 0.5000 0.0000
```

Computed, not measured: a geometry-optimized Pm2Pd3 structure at the PBE level of DFT.

Properties
Excess energy over the best structure of this formula in the dataset in meV per atom: 30
Calculated volume in Å³ per cell: 241.2
E_tot in eV per cell: -57.00
Total magnetization in μB/cell: 0.000
ΔH_f (0 K) in eV/atom: -0.684

Geometry as POSCAR:
```
Pm2Pd3
1.0
-3.0997 6.5234 2.9817
3.0997 -6.5234 2.9817
3.0997 6.5234 -2.9817
Pm Pd
4 6
direct
0.1492 0.2239 0.3731
0.3508 0.7239 0.0747
0.6492 0.2761 0.9253
0.8508 0.7761 0.6269
0.1292 0.7555 0.8847
0.2500 0.7500 0.5000
0.3708 0.2555 0.6264
0.6292 0.7445 0.3736
0.7500 0.2500 0.5000
0.8708 0.2445 0.1153
```

Computed, not measured: a geometry-optimized PtRh2 structure at the PBE level of DFT.

Properties
Excess energy over the best structure of this formula in the dataset in meV per atom: 137
Calculated volume in Å³ per cell: 44.9
E_tot in eV per cell: -20.41
Total magnetization in μB/cell: 0.000
ΔH_f (0 K) in eV/atom: 0.111

Geometry as POSCAR:
```
PtRh2
1.0
-1.6620 1.6620 4.0618
1.6620 -1.6620 4.0618
1.6620 1.6620 -4.0618
Pt Rh
1 2
direct
0.0000 0.0000 0.0000
0.3316 0.3316 0.0000
0.6684 0.6684 0.0000
```

Computed, not measured: a geometry-optimized K3Rb2Na7 structure at the PBE level of DFT.

Properties
Excess energy over the best structure of this formula in the dataset in meV per atom: 9
Calculated volume in Å³ per cell: 673.1
E_tot in eV per cell: -13.82
Total magnetization in μB/cell: 0.000
ΔH_f (0 K) in eV/atom: 0.053

Geometry as POSCAR:
```
K3Rb2Na7
1.0
5.9350 0.0000 0.0000
0.0000 4.7156 0.0000
-2.8600 0.0000 24.0515
K Rb Na
3 2 7
direct
0.0000 0.0000 0.0000
0.2993 0.5000 0.6000
0.7007 0.5000 0.4000
0.1372 0.0000 0.2726
0.8628 0.0000 0.7274
0.0668 0.5000 0.1288
0.2288 0.0000 0.4569
0.4335 0.0000 0.8706
0.5000 0.5000 0.0000
0.5665 0.0000 0.1294
0.7712 0.0000 0.5431
0.9332 0.5000 0.8712
```

Computed, not measured: a geometry-optimized V3SiS6 structure at the PBE level of DFT.

Properties
Calculated volume in Å³ per cell: 336.2
E_tot in eV per cell: -126.67
Total magnetization in μB/cell: 1.497
Formation energy from raw total energies in meV/atom: -579

Geometry as POSCAR:
```
V3SiS6
1.0
4.6275 -6.4911 0.0000
4.6275 6.4911 0.0000
0.0000 0.0000 5.5961
V Si S
6 2 12
direct
0.0640 0.9360 0.5000
0.2530 0.3614 0.6850
0.3614 0.2530 0.1850
0.6386 0.7470 0.6850
0.7470 0.6386 0.1850
0.9360 0.0640 0.0000
0.2824 0.7176 0.1828
0.7176 0.2824 0.6828
0.0247 0.6396 0.3490
0.0920 0.2317 0.3381
0.2317 0.0920 0.8381
0.3270 0.6730 0.8153
0.3604 0.9753 0.3490
0.4366 0.5634 0.3536
0.5634 0.4366 0.8536
0.6396 0.0247 0.8490
0.6730 0.3270 0.3153
0.7683 0.9080 0.3381
0.9080 0.7683 0.8381
0.9753 0.3604 0.8490
```

Computed, not measured: a geometry-optimized SbSeCl2 structure at the PBE level of DFT.

Properties
Excess energy over the best structure of this formula in the dataset in meV per atom: 482
Calculated volume in Å³ per cell: 88.5
E_tot in eV per cell: -10.94
Total magnetization in μB/cell: 0.000
Formation energy from raw total energies in meV/atom: 89

Geometry as POSCAR:
```
SbSeCl2
1.0
3.6190 0.0000 0.0000
0.0000 4.6117 0.0000
0.0000 0.0000 5.3033
Sb Se Cl
1 1 2
direct
0.0000 0.0000 0.0000
0.5000 0.0000 0.5000
0.0000 0.5000 0.5000
0.5000 0.5000 0.0000
```

- Among the records above, which one has the lowest calculated volume?
  PtRh2